Material: InSb3P
Method: DFT, PBE
State: relaxed

abc: 5.278 5.278 5.278
angles: 90.00 90.00 90.00
Sites, in units of the cell vectors:
In 0.000 0.000 0.000
Sb 0.000 0.500 0.500
Sb 0.500 0.000 0.500
Sb 0.500 0.500 0.000
P 0.500 0.500 0.500

VASP energy = -0.1337 Ha/atom
ΔE to the lowest computed polymorph = 0.0 kJ/mol of formula units
SG = Pm-3m
formation energy without anion corrections = 45.0 kJ/mol of atoms